Entry 1:
Ba3TbDy3Te8 | PBE | relaxed

Cell: 9.527 9.527 9.527 Å, 56.33 56.33 56.33°
Positions (direct):
Ba1 0.000 0.500 0.500
Ba2 0.500 0.000 0.500
Ba3 0.500 0.500 0.000
Tb1 0.500 0.500 0.500
Dy1 0.000 0.000 0.500
Dy2 0.000 0.500 0.000
Dy3 0.500 0.000 0.000
Te1 0.234 0.741 0.741
Te2 0.239 0.239 0.239
Te3 0.259 0.259 0.766
Te4 0.259 0.766 0.259
Te5 0.741 0.234 0.741
Te6 0.741 0.741 0.234
Te7 0.761 0.761 0.761
Te8 0.766 0.259 0.259

For the raw formation energy, the calculation gives -1.534 eV/atom. The total energy comes out at -4.82 eV per atom. For the total magnetization, the calculation gives 0.00 μB/f.u.

Entry 2:
LiSmGa2Cu | PBE | relaxed

Cell: 4.276 4.276 10.058 Å, 90.00 90.00 90.00°
Positions (direct):
Li1 0.000 0.000 0.000
Li2 0.500 0.500 0.500
Sm1 0.000 0.500 0.750
Sm2 0.500 0.000 0.250
Ga1 0.000 0.500 0.127
Ga2 0.000 0.500 0.373
Ga3 0.500 0.000 0.627
Ga4 0.500 0.000 0.873
Cu1 0.000 0.000 0.500
Cu2 0.500 0.500 0.000

The total energy comes out at -3.76 eV per atom. For the total magnetization, the calculation gives 0.00 μB/f.u.